A | {"formula": "Tb6HoTm12", "functional": "PBE-GGA", "state": "optimized geometry", "lattice": [[5.448, 3.146, 5.719], [-5.448, 3.146, 5.719], [0.000, -6.291, 5.719]], "species": ["Tb", "Tb", "Tb", "Tb", "Tb", "Tb", "Ho", "Tm", "Tm", "Tm", "Tm", "Tm", "Tm", "Tm", "Tm", "Tm", "Tm", "Tm", "Tm"], "frac_coords": [[0.268, 0.268, 0.662], [0.268, 0.662, 0.268], [0.338, 0.732, 0.732], [0.662, 0.268, 0.268], [0.732, 0.338, 0.732], [0.732, 0.732, 0.338], [0.500, 0.500, 0.500], [0.013, 0.364, 0.364], [0.014, 0.014, 0.696], [0.014, 0.696, 0.014], [0.304, 0.986, 0.986], [0.364, 0.013, 0.364], [0.364, 0.364, 0.013], [0.636, 0.636, 0.987], [0.636, 0.987, 0.636], [0.696, 0.014, 0.014], [0.986, 0.304, 0.986], [0.986, 0.986, 0.304], [0.987, 0.636, 0.636]]}

B | {"formula": "Tb6HoTm12", "functional": "PBE-GGA", "state": "optimized geometry", "lattice": [[7.508, 4.335, 3.086], [-7.508, 4.335, 3.086], [0.000, -8.670, 3.086]], "species": ["Tb", "Tb", "Tb", "Tb", "Tb", "Tb", "Ho", "Tm", "Tm", "Tm", "Tm", "Tm", "Tm", "Tm", "Tm", "Tm", "Tm", "Tm", "Tm"], "frac_coords": [[0.196, 0.565, 0.565], [0.435, 0.435, 0.804], [0.435, 0.804, 0.435], [0.565, 0.196, 0.565], [0.565, 0.565, 0.196], [0.804, 0.435, 0.435], [0.500, 0.500, 0.500], [0.000, 0.291, 0.709], [0.000, 0.709, 0.291], [0.112, 0.112, 0.344], [0.112, 0.344, 0.112], [0.291, 0.000, 0.709], [0.291, 0.709, 0.000], [0.344, 0.112, 0.112], [0.656, 0.888, 0.888], [0.709, 0.000, 0.291], [0.709, 0.291, 0.000], [0.888, 0.656, 0.888], [0.888, 0.888, 0.656]]}

Quick look at relative energies in meV/atom: A 0; B 141.

A | {"formula": "Tb3Ho7Tm2", "functional": "PBE-GGA", "state": "optimized geometry", "lattice": [[6.294, 0.000, 0.000], [0.000, 3.511, 0.000], [-0.048, 0.000, 17.000]], "species": ["Tb", "Tb", "Tb", "Ho", "Ho", "Ho", "Ho", "Ho", "Ho", "Ho", "Tm", "Tm"], "frac_coords": [[0.000, 0.000, 0.000], [0.497, 0.500, 0.659], [0.503, 0.500, 0.341], [0.175, 0.500, 0.166], [0.254, 0.000, 0.502], [0.325, 0.000, 0.832], [0.500, 0.500, 0.000], [0.675, 0.000, 0.168], [0.746, 0.000, 0.498], [0.825, 0.500, 0.834], [0.008, 0.000, 0.326], [0.992, 0.000, 0.674]]}

B | {"formula": "Tb3Ho7Tm2", "functional": "PBE-GGA", "state": "optimized geometry", "lattice": [[5.743, 0.000, 0.000], [0.000, 3.526, 0.000], [-1.075, 0.000, 18.467]], "species": ["Tb", "Tb", "Tb", "Ho", "Ho", "Ho", "Ho", "Ho", "Ho", "Ho", "Tm", "Tm"], "frac_coords": [[0.000, 0.000, 0.000], [0.278, 0.500, 0.633], [0.722, 0.500, 0.367], [0.186, 0.500, 0.144], [0.243, 0.000, 0.463], [0.311, 0.000, 0.821], [0.500, 0.500, 0.000], [0.689, 0.000, 0.179], [0.757, 0.000, 0.537], [0.814, 0.500, 0.856], [0.210, 0.000, 0.294], [0.790, 0.000, 0.706]]}

Quick look at relative energies in meV/atom: A 0; B 19.

A | {"formula": "Tb4Ho2Tm5", "functional": "PBE-GGA", "state": "optimized geometry", "lattice": [[10.657, -1.809, 0.000], [10.657, 1.809, 0.000], [-1.970, 0.000, 8.873]], "species": ["Tb", "Tb", "Tb", "Tb", "Ho", "Ho", "Tm", "Tm", "Tm", "Tm", "Tm"], "frac_coords": [[0.028, 0.028, 0.202], [0.328, 0.328, 0.583], [0.672, 0.672, 0.417], [0.972, 0.972, 0.798], [0.385, 0.385, 0.995], [0.615, 0.615, 0.005], [0.118, 0.118, 0.694], [0.250, 0.250, 0.170], [0.500, 0.500, 0.500], [0.750, 0.750, 0.830], [0.882, 0.882, 0.306]]}

B | {"formula": "Tb4Ho2Tm5", "functional": "PBE-GGA", "state": "optimized geometry", "lattice": [[11.634, -1.745, 0.000], [11.634, 1.745, 0.000], [-1.798, 0.000, 8.687]], "species": ["Tb", "Tb", "Tb", "Tb", "Ho", "Ho", "Tm", "Tm", "Tm", "Tm", "Tm"], "frac_coords": [[0.019, 0.019, 0.192], [0.381, 0.381, 0.980], [0.619, 0.619, 0.020], [0.981, 0.981, 0.808], [0.107, 0.107, 0.685], [0.893, 0.893, 0.315], [0.180, 0.180, 0.392], [0.237, 0.237, 0.831], [0.500, 0.500, 0.500], [0.763, 0.763, 0.169], [0.820, 0.820, 0.608]]}

Quick look at relative energies in meV/atom: A 0; B 179.

A | {"formula": "TbHo4Tm5", "functional": "PBE-GGA", "state": "optimized geometry", "lattice": [[-5.035, 5.035, 3.114], [5.035, -5.035, 3.114], [5.035, 5.035, -3.114]], "species": ["Tb", "Ho", "Ho", "Ho", "Ho", "Tm", "Tm", "Tm", "Tm", "Tm"], "frac_coords": [[0.000, 0.000, 0.000], [0.180, 0.883, 0.604], [0.279, 0.577, 0.396], [0.577, 0.180, 0.298], [0.883, 0.279, 0.702], [0.459, 0.459, 0.000], [0.495, 0.872, 0.911], [0.584, 0.495, 0.624], [0.872, 0.961, 0.376], [0.961, 0.584, 0.089]]}

B | {"formula": "TbHo4Tm5", "functional": "PBE-GGA", "state": "optimized geometry", "lattice": [[5.356, 0.000, 0.000], [0.000, 6.944, 0.000], [2.671, 0.003, 8.225]], "species": ["Tb", "Ho", "Ho", "Ho", "Ho", "Tm", "Tm", "Tm", "Tm", "Tm"], "frac_coords": [[0.000, 0.000, 0.000], [0.200, 0.999, 0.600], [0.390, 0.748, 0.219], [0.610, 0.748, 0.781], [0.801, 0.498, 0.399], [0.000, 0.498, 0.000], [0.199, 0.498, 0.602], [0.390, 0.249, 0.220], [0.610, 0.250, 0.780], [0.800, 0.000, 0.399]]}

Quick look at relative energies in meV/atom: A 257; B 0.

A | {"formula": "Tb7HoTm4", "functional": "PBE-GGA", "state": "optimized geometry", "lattice": [[6.163, 0.000, 0.000], [0.005, 7.111, 0.000], [2.051, -0.001, 8.509]], "species": ["Tb", "Tb", "Tb", "Tb", "Tb", "Tb", "Tb", "Ho", "Tm", "Tm", "Tm", "Tm"], "frac_coords": [[0.000, 0.000, 0.000], [0.222, 0.500, 0.335], [0.279, 0.751, 0.665], [0.499, 0.248, 0.000], [0.501, 0.752, 0.000], [0.721, 0.249, 0.335], [0.778, 0.500, 0.665], [0.000, 0.500, 0.000], [0.221, 0.000, 0.335], [0.278, 0.249, 0.666], [0.722, 0.751, 0.334], [0.779, 0.000, 0.665]]}

B | {"formula": "Tb7HoTm4", "functional": "PBE-GGA", "state": "optimized geometry", "lattice": [[3.528, 0.000, 0.000], [-1.764, 3.055, 0.000], [0.000, 0.000, 34.463]], "species": ["Tb", "Tb", "Tb", "Tb", "Tb", "Tb", "Tb", "Ho", "Tm", "Tm", "Tm", "Tm"], "frac_coords": [[0.000, 0.000, 0.000], [0.000, 0.000, 0.250], [0.000, 0.000, 0.750], [0.333, 0.667, 0.166], [0.333, 0.667, 0.416], [0.667, 0.333, 0.584], [0.667, 0.333, 0.834], [0.000, 0.000, 0.500], [0.333, 0.667, 0.667], [0.333, 0.667, 0.917], [0.667, 0.333, 0.083], [0.667, 0.333, 0.333]]}

Quick look at relative energies in meV/atom: A 0; B 22.

A | {"formula": "Tb6Ho4Tm", "functional": "PBE-GGA", "state": "optimized geometry", "lattice": [[2.846, -4.781, 0.000], [2.846, 4.781, 0.000], [0.000, 0.000, 25.415]], "species": ["Tb", "Tb", "Tb", "Tb", "Tb", "Tb", "Tb", "Tb", "Tb", "Tb", "Tb", "Tb", "Ho", "Ho", "Ho", "Ho", "Ho", "Ho", "Ho", "Ho", "Tm", "Tm"], "frac_coords": [[0.000, 0.000, 0.000], [0.000, 0.000, 0.500], [0.033, 0.967, 0.750], [0.303, 0.697, 0.105], [0.303, 0.697, 0.395], [0.367, 0.633, 0.682], [0.367, 0.633, 0.818], [0.633, 0.367, 0.182], [0.633, 0.367, 0.318], [0.697, 0.303, 0.605], [0.697, 0.303, 0.895], [0.967, 0.033, 0.250], [0.038, 0.962, 0.622], [0.038, 0.962, 0.878], [0.347, 0.653, 0.543], [0.347, 0.653, 0.957], [0.653, 0.347, 0.043], [0.653, 0.347, 0.457], [0.962, 0.038, 0.122], [0.962, 0.038, 0.378], [0.302, 0.698, 0.250], [0.698, 0.302, 0.750]]}

B | {"formula": "Tb6Ho4Tm", "functional": "PBE-GGA", "state": "optimized geometry", "lattice": [[-3.257, 3.257, 8.503], [3.257, -3.257, 8.503], [3.257, 3.257, -8.503]], "species": ["Tb", "Tb", "Tb", "Tb", "Tb", "Tb", "Ho", "Ho", "Ho", "Ho", "Tm"], "frac_coords": [[0.000, 0.500, 0.500], [0.013, 0.639, 0.000], [0.361, 0.361, 0.374], [0.500, 0.000, 0.500], [0.639, 0.013, 0.000], [0.987, 0.987, 0.626], [0.190, 0.190, 0.641], [0.452, 0.810, 0.000], [0.548, 0.548, 0.359], [0.810, 0.452, 0.000], [0.000, 0.000, 0.000]]}

Quick look at relative energies in meV/atom: A 0; B 176.

A | {"formula": "TbHo2Tm6", "functional": "PBE-GGA", "state": "optimized geometry", "lattice": [[3.548, 0.000, 0.000], [-1.774, 3.072, 0.000], [0.000, 0.000, 25.555]], "species": ["Tb", "Ho", "Ho", "Tm", "Tm", "Tm", "Tm", "Tm", "Tm"], "frac_coords": [[0.000, 0.000, 0.000], [0.333, 0.667, 0.327], [0.333, 0.667, 0.673], [0.000, 0.000, 0.218], [0.000, 0.000, 0.435], [0.000, 0.000, 0.565], [0.000, 0.000, 0.782], [0.333, 0.667, 0.110], [0.333, 0.667, 0.890]]}

B | {"formula": "TbHo2Tm6", "functional": "PBE-GGA", "state": "optimized geometry", "lattice": [[6.306, -6.978, 0.000], [6.306, 6.978, 0.000], [-1.507, 0.000, 6.268]], "species": ["Tb", "Tb", "Ho", "Ho", "Ho", "Ho", "Tm", "Tm", "Tm", "Tm", "Tm", "Tm", "Tm", "Tm", "Tm", "Tm", "Tm", "Tm"], "frac_coords": [[0.120, 0.880, 0.750], [0.880, 0.120, 0.250], [0.335, 0.383, 0.630], [0.383, 0.335, 0.130], [0.617, 0.665, 0.870], [0.665, 0.617, 0.370], [0.048, 0.222, 0.816], [0.060, 0.461, 0.270], [0.222, 0.048, 0.316], [0.278, 0.649, 0.998], [0.351, 0.722, 0.502], [0.461, 0.060, 0.770], [0.539, 0.940, 0.230], [0.649, 0.278, 0.498], [0.722, 0.351, 0.002], [0.778, 0.952, 0.684], [0.940, 0.539, 0.730], [0.952, 0.778, 0.184]]}

Quick look at relative energies in meV/atom: A 0; B 59.

A | {"formula": "TbHoTm", "functional": "PBE-GGA", "state": "optimized geometry", "lattice": [[5.129, 0.000, 0.000], [-2.564, 4.442, 0.000], [0.000, 0.000, 5.874]], "species": ["Tb", "Ho", "Tm"], "frac_coords": [[0.000, 0.000, 0.000], [0.333, 0.667, 0.500], [0.333, 0.667, 0.000]]}

B | {"formula": "TbHoTm", "functional": "PBE-GGA", "state": "optimized geometry", "lattice": [[-1.756, 1.756, 7.479], [1.756, -1.756, 7.479], [1.756, 1.756, -7.479]], "species": ["Tb", "Ho", "Tm"], "frac_coords": [[0.000, 0.000, 0.000], [0.332, 0.332, 0.000], [0.667, 0.667, 0.000]]}

C | {"formula": "TbHoTm", "functional": "PBE-GGA", "state": "optimized geometry", "lattice": [[5.568, 0.000, 0.000], [-2.784, 4.822, 0.000], [0.000, 0.000, 3.427]], "species": ["Tb", "Ho", "Tm"], "frac_coords": [[0.000, 0.000, 0.000], [0.667, 0.333, 0.500], [0.333, 0.667, 0.500]]}

D | {"formula": "TbHoTm", "functional": "PBE-GGA", "state": "optimized geometry", "lattice": [[3.440, 0.000, 0.000], [0.000, 3.452, 0.000], [0.000, 0.000, 15.978]], "species": ["Tb", "Tb", "Ho", "Ho", "Tm", "Tm"], "frac_coords": [[0.250, 0.250, 0.078], [0.750, 0.750, 0.922], [0.250, 0.750, 0.267], [0.750, 0.250, 0.733], [0.250, 0.750, 0.579], [0.750, 0.250, 0.421]]}

Quick look at relative energies in meV/atom: A 1615; B 0; C 53; D 127.

A | {"formula": "Tb2Ho2Tm", "functional": "PBE-GGA", "state": "optimized geometry", "lattice": [[3.489, 0.000, 0.000], [0.000, 2.833, 8.067], [0.000, -2.833, 8.067]], "species": ["Tb", "Tb", "Ho", "Ho", "Tm"], "frac_coords": [[0.000, 0.000, 0.000], [0.500, 0.191, 0.191], [0.000, 0.382, 0.382], [0.500, 0.810, 0.810], [0.000, 0.619, 0.619]]}

B | {"formula": "Tb2Ho2Tm", "functional": "PBE-GGA", "state": "optimized geometry", "lattice": [[9.197, 0.000, 0.000], [0.000, 9.197, 0.000], [0.000, 0.000, 3.701]], "species": ["Tb", "Tb", "Tb", "Tb", "Ho", "Ho", "Ho", "Ho", "Tm", "Tm"], "frac_coords": [[0.129, 0.371, 0.000], [0.371, 0.871, 0.000], [0.629, 0.129, 0.000], [0.871, 0.629, 0.000], [0.170, 0.670, 0.500], [0.330, 0.170, 0.500], [0.670, 0.830, 0.500], [0.830, 0.330, 0.500], [0.000, 0.000, 0.000], [0.500, 0.500, 0.000]]}

Quick look at relative energies in meV/atom: A 26; B 0.